No. 1
MnBeAl2 | PBE-GGA | optimized geometry

abc: 3.5280 3.5280 7.7971
angles: 90.00 90.00 90.00
With the nearest neighbours (Å) after each atom.
Element x y z (fractional)
Mn: 0.0000 0.0000 0.0000  8 Al 2.49-2.63, 4 Be 2.63
Mn: 0.5000 0.5000 0.5000  8 Al 2.49-2.63, 4 Be 2.63
Be: 0.0000 0.5000 0.2500  8 Al 2.49-2.63, 4 Mn 2.63
Be: 0.5000 0.0000 0.7500  8 Al 2.49-2.63, 4 Mn 2.63
Al: 0.0000 0.0000 0.5000  4 Mn 2.49, 4 Be 2.63, 4 Al 2.63
Al: 0.0000 0.5000 0.7500  4 Be 2.49, 4 Mn 2.63, 4 Al 2.63
Al: 0.5000 0.0000 0.2500  4 Be 2.49, 4 Mn 2.63, 4 Al 2.63
Al: 0.5000 0.5000 0.0000  4 Mn 2.49, 4 Be 2.63, 4 Al 2.63

Computed properties:
Raw total energy = -5.27 eV per atom
Space-group type = No. 119
Total magnetic moment = 0.99 μB/f.u.
Volume = 97 Å³/cell
N(E_F) = 1.486 states/eV/f.u.

No. 2
MnBeAl2 | PBE-GGA | optimized geometry

abc: 4.0922 4.0922 2.9312
angles: 90.00 90.00 90.00
With the nearest neighbours (Å) after each atom.
Element x y z (fractional)
Mn: 0.0000 0.0000 0.0000  8 Al 2.52
Be: 0.5000 0.5000 0.0000  8 Al 2.52
Al: 0.0000 0.5000 0.5000  4 Mn 2.52, 4 Be 2.52
Al: 0.5000 0.0000 0.5000  4 Mn 2.52, 4 Be 2.52

Computed properties:
Raw total energy = -5.16 eV per atom
Space-group type = No. 123
Total magnetic moment = 1.69 μB/f.u.
Volume = 49 Å³/cell
N(E_F) = 2.418 states/eV/f.u.

No. 3
Mn2BeAl | PBE-GGA | optimized geometry

abc: 3.7472 3.7472 6.7077
angles: 90.00 90.00 90.00
With the nearest neighbours (Å) after each atom.
Element x y z (fractional)
Mn: 0.0000 0.5000 0.2500  4 Be 2.51, 4 Al 2.51, 4 Mn 2.65
Mn: 0.0000 0.5000 0.7500  4 Be 2.51, 4 Al 2.51, 4 Mn 2.65
Mn: 0.5000 0.0000 0.2500  4 Be 2.51, 4 Al 2.51, 4 Mn 2.65
Mn: 0.5000 0.0000 0.7500  4 Be 2.51, 4 Al 2.51, 4 Mn 2.65
Be: 0.0000 0.0000 0.0000  8 Mn 2.51, 4 Al 2.65
Be: 0.5000 0.5000 0.5000  8 Mn 2.51, 4 Al 2.65
Al: 0.0000 0.0000 0.5000  8 Mn 2.51, 4 Be 2.65
Al: 0.5000 0.5000 0.0000  8 Mn 2.51, 4 Be 2.65

Computed properties:
Raw total energy = -6.57 eV per atom
Space-group type = No. 139
Total magnetic moment = 4.84 μB/f.u.
Volume = 94 Å³/cell
N(E_F) = 2.745 states/eV/f.u.

No. 4
Mn2BeAl | PBE-GGA | optimized geometry

abc: 4.8107 7.7955 2.4565
angles: 90.00 107.93 90.00
With the nearest neighbours (Å) after each atom.
Element x y z (fractional)
Mn: 0.2500 0.2500 0.0000  4 Mn 2.41-2.46, 2 Be 2.42, 2 Al 2.42
Mn: 0.2500 0.7500 0.0000  4 Mn 2.41-2.46, 2 Be 2.42, 2 Al 2.42
Mn: 0.7500 0.2500 0.0000  4 Mn 2.41-2.46, 2 Be 2.42, 2 Al 2.42
Mn: 0.7500 0.7500 0.0000  4 Mn 2.41-2.46, 2 Be 2.42, 2 Al 2.42
Be: 0.0000 0.0000 0.5000  2 Al 2.41, 4 Mn 2.42, 2 Be 2.46
Be: 0.5000 0.5000 0.5000  2 Al 2.41, 4 Mn 2.42, 2 Be 2.46
Al: 0.0000 0.5000 0.5000  2 Be 2.41, 4 Mn 2.42, 2 Al 2.46
Al: 0.5000 0.0000 0.5000  2 Be 2.41, 4 Mn 2.42, 2 Al 2.46

Computed properties:
Raw total energy = -6.44 eV per atom
Space-group type = No. 12
Total magnetic moment = 0.02 μB/f.u.
Volume = 88 Å³/cell
N(E_F) = 3.666 states/eV/f.u.

No. 5
Mn3BeAl | PBE-GGA | optimized geometry

abc: 4.0454 4.0454 4.0454
angles: 90.00 90.00 90.00
With the nearest neighbours (Å) after each atom.
Element x y z (fractional)
Mn: 0.0000 0.0000 0.5000  2 Be 2.02
Mn: 0.0000 0.5000 0.0000  2 Be 2.02
Mn: 0.5000 0.0000 0.0000  2 Be 2.02
Be: 0.0000 0.0000 0.0000  6 Mn 2.02
Al: 0.5000 0.5000 0.5000  12 Mn 2.86

Computed properties:
Raw total energy = -6.67 eV per atom
Relative energy among the computed polymorphs = 0 meV/atom
Space-group type = No. 221
Total magnetic moment = 8.03 μB/f.u.
Volume = 66 Å³/cell
N(E_F) = 2.297 states/eV/f.u.

No. 6
Mn2BeAl | PBE-GGA | optimized geometry

abc: 3.4314 3.4314 16.6985
angles: 90.00 90.00 90.00
With the nearest neighbours (Å) after each atom.
Element x y z (fractional)
Mn: 0.1802 0.2500 0.1250  2 Mn 2.11, 2 Be 2.34
Mn: 0.2500 0.6802 0.3750  2 Mn 2.11, 2 Be 2.34
Mn: 0.2500 0.8198 0.8750  2 Mn 2.11, 2 Be 2.34
Mn: 0.3198 0.2500 0.6250  2 Mn 2.11, 2 Be 2.34
Mn: 0.6802 0.7500 0.6250  2 Mn 2.11, 2 Be 2.34
Mn: 0.7500 0.1802 0.8750  2 Mn 2.11, 2 Be 2.34
Mn: 0.7500 0.3198 0.3750  2 Mn 2.11, 2 Be 2.34
Mn: 0.8198 0.7500 0.1250  2 Mn 2.11, 2 Be 2.34
Be: 0.0000 0.0000 0.0000  4 Mn 2.34, 4 Al 2.43
Be: 0.0000 0.5000 0.2500  4 Mn 2.34, 4 Al 2.43
Be: 0.5000 0.0000 0.7500  4 Mn 2.34, 4 Al 2.43
Be: 0.5000 0.5000 0.5000  4 Mn 2.34, 4 Al 2.43
Al: 0.0000 0.0000 0.5000  4 Be 2.43, 4 Mn 2.51
Al: 0.0000 0.5000 0.7500  4 Be 2.43, 4 Mn 2.51
Al: 0.5000 0.0000 0.2500  4 Be 2.43, 4 Mn 2.51
Al: 0.5000 0.5000 0.0000  4 Be 2.43, 4 Mn 2.51

Computed properties:
Raw total energy = -6.05 eV per atom
Space-group type = No. 122
Total magnetic moment = 0.00 μB/f.u.
Volume = 197 Å³/cell
N(E_F) = 4.099 states/eV/f.u.

No. 7
Mn2BeAl | PBE-GGA | optimized geometry

abc: 3.7415 3.7415 3.3611
angles: 90.00 90.00 90.00
With the nearest neighbours (Å) after each atom.
Element x y z (fractional)
Mn: 0.0000 0.5000 0.0000  4 Be 2.51, 4 Al 2.51, 4 Mn 2.65
Mn: 0.5000 0.0000 0.0000  4 Be 2.51, 4 Al 2.51, 4 Mn 2.65
Be: 0.0000 0.0000 0.5000  8 Mn 2.51, 4 Al 2.65
Al: 0.5000 0.5000 0.5000  8 Mn 2.51, 4 Be 2.65

Computed properties:
Raw total energy = -6.57 eV per atom
Space-group type = No. 123
Total magnetic moment = 4.84 μB/f.u.
Volume = 47 Å³/cell
N(E_F) = 2.416 states/eV/f.u.

No. 8
MnBeAl2 | PBE-GGA | optimized geometry

abc: 2.7278 2.7278 24.5547
angles: 90.00 90.00 120.00
With the nearest neighbours (Å) after each atom.
Element x y z (fractional)
Mn: 0.0000 0.0000 0.0000  6 Al 2.61, 6 Mn 2.73
Mn: 0.3333 0.6667 0.6667  6 Al 2.61, 6 Mn 2.73
Mn: 0.6667 0.3333 0.3333  6 Al 2.61, 6 Mn 2.73
Be: 0.0000 0.0000 0.5000  6 Al 2.56, 6 Be 2.73
Be: 0.3333 0.6667 0.1667  6 Al 2.56, 6 Be 2.73
Be: 0.6667 0.3333 0.8333  6 Al 2.56, 6 Be 2.73
Al: 0.0000 0.0000 0.2487  3 Be 2.56, 3 Mn 2.61, 6 Al 2.73
Al: 0.0000 0.0000 0.7513  3 Be 2.56, 3 Mn 2.61, 6 Al 2.73
Al: 0.3333 0.6667 0.4179  3 Be 2.56, 3 Mn 2.61, 6 Al 2.73
Al: 0.3333 0.6667 0.9154  3 Be 2.56, 3 Mn 2.61, 6 Al 2.73
Al: 0.6667 0.3333 0.0846  3 Be 2.56, 3 Mn 2.61, 6 Al 2.73
Al: 0.6667 0.3333 0.5821  3 Be 2.56, 3 Mn 2.61, 6 Al 2.73

Computed properties:
Raw total energy = -5.02 eV per atom
Space-group type = No. 166
Total magnetic moment = 2.33 μB/f.u.
Volume = 158 Å³/cell
N(E_F) = 1.704 states/eV/f.u.